No. 1
Compound: LiRh3Pb
Source: Alexandria via LeMat-Bulk
Functional: GGA-PBE
Structure: relaxed

```
5
Lattice="4.2689 0.0000 0.0000 0.0000 4.2689 0.0000 0.0000 0.0000 4.2689" Properties=species:S:1:pos:R:3 pbc="T T T"
Li 0.0000 0.0000 0.0000
Rh 0.0000 0.0000 2.1345
Rh 0.0000 2.1345 0.0000
Rh 2.1345 0.0000 0.0000
Pb 2.1345 2.1345 2.1345
```

Excess energy over the best structure of this formula in the dataset, meV/atom: 0
Formation enthalpy at 0 K, eV/f.u.: 2.008
Crystal system: cubic


No. 2
Compound: Na5Tl4Pd
Source: Alexandria via LeMat-Bulk
Functional: GGA-PBE
Structure: relaxed

```
10
Lattice="9.1556 -2.5824 0.0000 9.1556 2.5824 0.0000 -0.7821 0.0000 5.8696" Properties=species:S:1:pos:R:3 pbc="T T T"
Na 0.0000 0.0000 0.0000
Na 4.3500 0.0000 1.2082
Na 6.2397 0.0000 4.2930
Na 11.2894 0.0000 1.5766
Na 13.1791 0.0000 4.6614
Tl 2.2547 0.0000 3.9674
Tl 8.0210 0.0000 1.5412
Tl 9.5081 0.0000 4.3283
Tl 15.2744 0.0000 1.9022
Pd -0.3910 0.0000 2.9348
```

Excess energy over the best structure of this formula in the dataset, meV/atom: 0
Formation enthalpy at 0 K, eV/f.u.: -1.206
Crystal system: monoclinic


No. 3
Compound: NpUN2
Source: Alexandria via LeMat-Bulk
Functional: GGA-PBE
Structure: relaxed

```
4
Lattice="0.0000 3.0006 3.0006 3.0006 0.0000 3.0006 3.0006 3.0006 0.0000" Properties=species:S:1:pos:R:3 pbc="T T T"
Np 0.0000 0.0000 0.0000
U 3.0006 3.0006 3.0006
N 1.5003 1.5003 1.5003
N 4.5009 4.5009 4.5009
```

Crystal system: cubic


Number 1: DOS at the Fermi energy 3.843 states/eV per cell, raw total energy -5.1338 eV per atom. Number 2: DOS at the Fermi energy 3.777 states/eV per cell, raw total energy -2.2459 eV per atom. Number 3: DOS at the Fermi energy 10.006 states/eV per cell, raw total energy -10.7293 eV per atom.